1.
VASP calculation (PBE-GGA) on a relaxed structure of Mn2S.

a = 5.104 Å, b = 3.044 Å, c = 5.277 Å
α = 90.00°, β = 110.10°, γ = 90.00°
Last column: magnetic moment on the atom in μB.
Atoms (fractional coordinates):
1 Mn 0.886 0.000 0.669  1.50
2 Mn 0.279 0.000 0.468  2.67
3 Mn 0.886 0.500 0.169  1.50
4 Mn 0.279 0.500 0.968  2.67
5 S 0.600 0.000 0.241  -0.08
6 S 0.600 0.500 0.741  -0.08

Summary:
E_form (uncorrected) (eV/atom): -0.077
E_tot (eV per cell): -45.39



2.
VASP calculation (PBE-GGA) on a relaxed structure of Np2Ge3Rh2.

a = 4.157 Å, b = 6.956 Å, c = 9.358 Å
α = 90.00°, β = 102.83°, γ = 90.00°
Last column: magnetic moment on the atom in μB.
Atoms (fractional coordinates):
1 Ge 0.784 0.250 0.568  -0.01
2 Ge 0.437 0.936 0.873  -0.04
3 Ge 0.216 0.750 0.432  -0.01
4 Ge 0.563 0.436 0.127  -0.04
5 Ge 0.437 0.564 0.873  -0.04
6 Ge 0.563 0.064 0.127  -0.04
7 Rh 0.305 0.457 0.610  -0.18
8 Rh 0.305 0.043 0.610  -0.18
9 Rh 0.695 0.957 0.390  -0.18
10 Rh 0.695 0.543 0.390  -0.18
11 Np 0.841 0.750 0.682  3.34
12 Np 0.051 0.750 0.103  3.78
13 Np 0.949 0.250 0.897  3.78
14 Np 0.159 0.250 0.318  3.34

Summary:
Formation energy (eV per atom): -0.4293
E_tot (eV per cell): -114.88



3.
VASP calculation (PBE-GGA) on a relaxed structure of Y2Zn2Cu.

a = 3.569 Å, b = 3.569 Å, c = 9.080 Å
α = 78.67°, β = 78.67°, γ = 90.00°
Atoms (fractional coordinates):
1 Zn 0.250 0.750 0.500
2 Zn 0.750 0.250 0.500
3 Y 0.403 0.403 0.195
4 Y 0.597 0.597 0.805
5 Cu 0.000 0.000 0.000

Summary:
Formation energy (eV per atom): -0.0559
E_tot (eV per cell): -19.85



4.
VASP calculation (PBE-GGA) on a relaxed structure of Tl5Si4.

a = 8.081 Å, b = 8.081 Å, c = 8.081 Å
α = 93.12°, β = 93.12°, γ = 153.01°
Atoms (fractional coordinates):
1 Si 0.000 0.385 0.385
2 Si 0.615 0.000 0.615
3 Si 0.000 0.615 0.615
4 Si 0.385 0.000 0.385
5 Tl 0.330 0.330 0.660
6 Tl 0.000 0.000 0.000
7 Tl 0.330 0.670 0.000
8 Tl 0.670 0.330 0.000
9 Tl 0.670 0.670 0.340

Summary:
E_form (uncorrected) (eV/atom): 0.338
E_tot (eV per cell): -30.48



5.
VASP calculation (PBE-GGA) on a relaxed structure of Y2FeRh.

a = 6.093 Å, b = 6.093 Å, c = 4.536 Å
α = 68.09°, β = 68.09°, γ = 32.71°
Last column: magnetic moment on the atom in μB.
Atoms (fractional coordinates):
1 Fe 0.539 0.539 0.461  2.42
2 Y 0.983 0.983 0.016  -0.25
3 Y 0.764 0.764 0.737  -0.11
4 Rh 0.214 0.214 0.286  0.27

Summary:
Formation energy (eV per atom): -0.1963
E_tot (eV per cell): -29.53



6.
VASP calculation (PBE-GGA) on a relaxed structure of SmZn8Cu4.

a = 4.957 Å, b = 6.748 Å, c = 6.748 Å
α = 82.25°, β = 68.45°, γ = 68.45°
Atoms (fractional coordinates):
1 Cu 0.000 0.500 0.000
2 Cu 0.500 0.500 0.000
3 Cu 0.000 0.000 0.500
4 Cu 0.500 0.000 0.500
5 Zn 0.721 0.779 0.779
6 Zn 0.651 0.349 0.349
7 Zn 0.000 0.651 0.349
8 Zn 0.349 0.651 0.651
9 Zn 0.000 0.349 0.651
10 Zn 0.500 0.779 0.221
11 Zn 0.500 0.221 0.779
12 Zn 0.279 0.221 0.221
13 Sm 0.000 0.000 0.000

Summary:
Formation energy (eV per atom): -0.2036
E_tot (eV per cell): -33.94



7.
VASP calculation (PBE-GGA) on a relaxed structure of MgPF.

a = 4.415 Å, b = 3.304 Å, c = 6.598 Å
α = 90.00°, β = 103.09°, γ = 90.00°
Atoms (fractional coordinates):
1 Mg 0.562 0.250 0.808
2 Mg 0.438 0.750 0.192
3 F 0.285 0.250 0.024
4 F 0.715 0.750 0.976
5 P 0.171 0.750 0.507
6 P 0.829 0.250 0.493

Summary:
E_form (uncorrected) (eV/atom): -1.825
E_tot (eV per cell): -28.70



8.
VASP calculation (PBE-GGA) on a relaxed structure of Sr3AcPa2N6.

a = 3.697 Å, b = 7.430 Å, c = 8.324 Å
α = 102.70°, β = 102.83°, γ = 90.00°
Atoms (fractional coordinates):
1 N 0.331 0.869 0.662
2 N 0.971 0.736 0.941
3 N 0.683 0.557 0.366
4 N 0.669 0.131 0.338
5 N 0.317 0.443 0.634
6 N 0.029 0.264 0.059
7 Sr 0.831 0.167 0.662
8 Sr 0.169 0.833 0.338
9 Sr 0.500 0.500 0.000
10 Ac 0.500 0.000 0.000
11 Pa 0.831 0.664 0.662
12 Pa 0.169 0.336 0.338

Summary:
E_form (uncorrected) (eV/atom): -1.258
E_tot (eV per cell): -93.20



9.
VASP calculation (PBE-GGA) on a relaxed structure of CeSm6Er8.

a = 8.627 Å, b = 8.627 Å, c = 8.627 Å
α = 63.02°, β = 63.02°, γ = 63.02°
Last column: magnetic moment on the atom in μB.
Atoms (fractional coordinates):
1 Er 0.112 0.716 0.752  -0.03
2 Er 0.716 0.752 0.112  -0.03
3 Er 0.577 0.577 0.577  0.03
4 Er 0.888 0.284 0.248  -0.03
5 Er 0.248 0.888 0.284  -0.03
6 Er 0.423 0.423 0.423  0.03
7 Er 0.284 0.248 0.888  -0.03
8 Er 0.752 0.112 0.716  -0.03
9 Sm 0.106 0.540 0.226  -0.02
10 Sm 0.226 0.106 0.540  -0.02
11 Sm 0.540 0.226 0.106  -0.02
12 Sm 0.894 0.460 0.774  -0.02
13 Sm 0.460 0.774 0.894  -0.02
14 Sm 0.774 0.894 0.460  -0.02
15 Ce 0.000 0.000 0.000  -0.63

Summary:
Formation energy (eV per atom): 0.1282
E_tot (eV per cell): -68.83



10.
VASP calculation (PBE-GGA) on a relaxed structure of Mg4SnHgH.

a = 6.139 Å, b = 6.123 Å, c = 8.071 Å
α = 90.00°, β = 112.35°, γ = 90.00°
Atoms (fractional coordinates):
1 Mg 0.500 0.000 0.500
2 Mg 0.425 0.750 0.851
3 Mg 0.575 0.250 0.149
4 Mg 0.500 0.500 0.500
5 Mg 0.914 0.250 0.827
6 Mg 0.000 0.500 0.500
7 Mg 0.000 0.000 0.500
8 Mg 0.086 0.750 0.173
9 H 0.763 0.250 0.526
10 H 0.237 0.750 0.474
11 Hg 0.614 0.750 0.228
12 Hg 0.386 0.250 0.772
13 Sn 0.110 0.250 0.219
14 Sn 0.890 0.750 0.781

Summary:
E_tot (eV per cell): -29.52